{"formula": "AlCuF", "functional": "PBE-GGA", "state": "optimized geometry", "space_group": "Cmcm, No. 63", "n_ef_per_ev_atom": 0.256, "m_tot_mub_per_cell": 0.000, "final_energy_ev_per_atom": -4.556, "relative_energy_mev_per_atom": 69, "e_form_raw_ev_per_atom": -1.320, "cell": [[1.329, -7.896, 0.000], [1.329, 7.896, 0.000], [0.000, 0.000, 4.069]], "species": ["Al", "Al", "Cu", "Cu", "F", "F"], "frac_coords": [[0.107, 0.893, 0.750], [0.893, 0.107, 0.250], [0.459, 0.541, 0.750], [0.541, 0.459, 0.250], [0.310, 0.690, 0.250], [0.690, 0.310, 0.750]]}



{"formula": "AlCuF3", "functional": "PBE-GGA", "state": "optimized geometry", "space_group": "Pm-3m, No. 221", "n_ef_per_ev_atom": 0.569, "m_tot_mub_per_cell": 0.999, "final_energy_ev_per_atom": -4.041, "relative_energy_mev_per_atom": 596, "e_form_raw_ev_per_atom": -1.351, "cell": [[4.076, 0.000, 0.000], [0.000, 4.076, 0.000], [0.000, 0.000, 4.076]], "species": ["Al", "Cu", "F", "F", "F"], "frac_coords": [[0.000, 0.000, 0.000], [0.500, 0.500, 0.500], [0.000, 0.500, 0.500], [0.500, 0.000, 0.500], [0.500, 0.500, 0.000]]}



{"formula": "AlCuF3", "functional": "PBE-GGA", "state": "optimized geometry", "space_group": "Pm-3m, No. 221", "n_ef_per_ev_atom": 0.215, "m_tot_mub_per_cell": 0.000, "final_energy_ev_per_atom": -4.637, "relative_energy_mev_per_atom": 0, "e_form_raw_ev_per_atom": -1.947, "cell": [[3.846, 0.000, 0.000], [0.000, 3.846, 0.000], [0.000, 0.000, 3.846]], "species": ["Al", "Cu", "F", "F", "F"], "frac_coords": [[0.000, 0.000, 0.000], [0.500, 0.500, 0.500], [0.000, 0.000, 0.500], [0.000, 0.500, 0.000], [0.500, 0.000, 0.000]]}



{"formula": "AlCuF2", "functional": "PBE-GGA", "state": "optimized geometry", "space_group": "R-3m, No. 166", "n_ef_per_ev_atom": 0.146, "m_tot_mub_per_cell": 0.000, "final_energy_ev_per_atom": -4.277, "relative_energy_mev_per_atom": 0, "e_form_raw_ev_per_atom": -1.382, "cell": [[1.419, 0.820, 7.027], [-1.419, 0.820, 7.027], [0.000, -1.639, 7.027]], "species": ["Al", "Cu", "F", "F"], "frac_coords": [[0.000, 0.000, 0.000], [0.500, 0.500, 0.500], [0.088, 0.088, 0.088], [0.912, 0.912, 0.912]]}



{"formula": "AlCuF", "functional": "PBE-GGA", "state": "optimized geometry", "space_group": "I-4m2, No. 119", "n_ef_per_ev_atom": 0.366, "m_tot_mub_per_cell": 0.000, "final_energy_ev_per_atom": -4.591, "relative_energy_mev_per_atom": 35, "e_form_raw_ev_per_atom": -1.354, "cell": [[-1.401, 1.401, 10.003], [1.401, -1.401, 10.003], [1.401, 1.401, -10.003]], "species": ["Al", "Al", "Cu", "Cu", "F", "F"], "frac_coords": [[0.128, 0.128, 0.000], [0.872, 0.872, 0.000], [0.293, 0.293, 0.000], [0.707, 0.707, 0.000], [0.564, 0.064, 0.500], [0.936, 0.436, 0.500]]}



{"formula": "AlCuF2", "functional": "PBE-GGA", "state": "optimized geometry", "space_group": "Fd-3m, No. 227", "n_ef_per_ev_atom": 0.287, "m_tot_mub_per_cell": 0.000, "final_energy_ev_per_atom": -4.275, "relative_energy_mev_per_atom": 3, "e_form_raw_ev_per_atom": -1.379, "cell": [[0.000, 4.043, 4.043], [4.043, 0.000, 4.043], [4.043, 4.043, 0.000]], "species": ["Al", "Al", "Cu", "Cu", "F", "F", "F", "F"], "frac_coords": [[0.125, 0.125, 0.125], [0.875, 0.875, 0.875], [0.375, 0.375, 0.375], [0.625, 0.625, 0.625], [0.000, 0.000, 0.000], [0.000, 0.000, 0.500], [0.000, 0.500, 0.000], [0.500, 0.000, 0.000]]}



{"formula": "Al2CuF", "functional": "PBE-GGA", "state": "optimized geometry", "space_group": "Fm-3m, No. 225", "n_ef_per_ev_atom": 0.426, "m_tot_mub_per_cell": 0.000, "final_energy_ev_per_atom": -3.831, "e_form_raw_ev_per_atom": -0.468, "cell": [[0.000, 3.043, 3.043], [3.043, 0.000, 3.043], [3.043, 3.043, 0.000]], "species": ["Al", "Al", "Cu", "F"], "frac_coords": [[0.250, 0.250, 0.250], [0.750, 0.750, 0.750], [0.000, 0.000, 0.000], [0.500, 0.500, 0.500]]}



{"formula": "AlCuF5", "functional": "PBE-GGA", "state": "optimized geometry", "space_group": "Immm, No. 71", "n_ef_per_ev_atom": 0.255, "m_tot_mub_per_cell": 1.000, "final_energy_ev_per_atom": -5.080, "e_form_raw_ev_per_atom": -2.623, "cell": [[-1.796, 3.128, 3.688], [1.796, -3.128, 3.688], [1.796, 3.128, -3.688]], "species": ["Al", "Cu", "F", "F", "F", "F", "F"], "frac_coords": [[0.000, 0.000, 0.000], [0.500, 0.500, 0.000], [0.000, 0.500, 0.500], [0.247, 0.247, 0.000], [0.293, 0.000, 0.293], [0.707, 0.000, 0.707], [0.753, 0.753, 0.000]]}